Computed, not measured: a relaxed IrPb3F crystal at the GGA-PBE level of DFT.

a b c (Å): 4.9259 4.9259 4.9259
angles (deg): 90.00 90.00 90.00
Sites, in units of the cell vectors:
Pb 0.0000 0.5000 0.0000
Ir 0.5000 0.5000 0.5000
F 0.0000 0.0000 0.0000
Pb 0.5000 0.0000 0.0000
Pb 0.0000 0.0000 0.5000

Calculated values
* VASP energy: -4.294 eV per atom
* formation energy from raw total energies: 0.4 eV/f.u.
* M_tot: 0.00 μB per formula unit